1.
First-principles (PBE-GGA) data for a relaxed Zr2TePb crystal, as listed in Alexandria.

The value obtained for the total energy is -25.153 eV/f.u. Its excess energy over the best structure of this formula in the dataset is 134.9 meV per atom. The energy relative to the elements, uncorrected comes out at -302 meV per atom.

POSCAR file:
```
Zr2TePb
1.0
5.374 0.000 0.000
0.000 3.462 0.154
0.000 1.453 5.554
Zr Pb Te
2 1 1
Direct
0.500 0.184 0.255
0.000 0.845 0.950
0.000 0.573 0.472
0.500 0.897 0.822
```

2.
First-principles (PBE-GGA) data for a relaxed UPa2Tc2 crystal, as listed in Alexandria.

The energy of formation is -0.167 eV per atom. The value obtained for the total energy is -51.847 eV/f.u.

POSCAR file:
```
UPa2Tc2
1.0
3.295 0.000 0.625
1.818 5.410 -0.588
-0.497 -4.167 11.606
Pa Tc U
4 4 2
Direct
0.913 0.731 0.442
0.334 0.195 0.137
0.666 0.805 0.863
0.087 0.269 0.558
0.288 0.778 0.647
0.901 0.272 0.927
0.712 0.222 0.353
0.099 0.728 0.073
0.530 0.698 0.242
0.470 0.302 0.758
```

3.
First-principles (PBE-GGA) data for a relaxed Sr2YRu crystal, as listed in Alexandria.

The energy of formation is 0.496 eV per atom. The value obtained for the total energy is -17.120 eV/f.u. Its excess energy over the best structure of this formula in the dataset is 439.2 meV per atom.

POSCAR file:
```
Sr2YRu
1.0
6.374 -0.001 0.000
3.077 5.582 0.000
-4.725 -2.790 3.242
Sr Ru Y
2 1 1
Direct
0.500 0.500 0.000
0.000 0.000 0.000
0.750 0.250 0.500
0.250 0.750 0.500
```

4.
First-principles (PBE-GGA) data for a relaxed NaSi2BiCl crystal, as listed in Alexandria.

The value obtained for the total energy is -15.828 eV/f.u. Its excess energy over the best structure of this formula in the dataset is 0.0 meV per atom. The energy relative to the elements, uncorrected comes out at 413 meV per atom.

POSCAR file:
```
NaSi2BiCl
1.0
5.045 0.000 0.000
0.000 4.893 0.000
0.000 0.000 5.045
Si Na Bi Cl
2 1 1 1
Direct
0.500 0.000 0.000
0.000 0.000 0.500
0.000 0.500 0.000
0.500 0.500 0.500
0.000 0.000 0.000
```

M_tot for every record listed, in sequence, given in μB/f.u.: 0.00 0.00 0.00 0.00.